# 1
The following is a PBE calculation of crystalline CdAg2Cl at its relaxed geometry, from Alexandria.

Values from the calculation:
- Total DFT energy (no corrections): -2.210 eV per atom
- Relative energy among the computed polymorphs: 0.0684 eV/atom

a = 3.195 Å, b = 3.195 Å, c = 7.811 Å
α = 90.00°, β = 90.00°, γ = 90.00°
Positions (direct):
Cd: 0.000 0.000 0.000
Ag: 0.500 0.500 0.252
Ag: 0.500 0.500 0.748
Cl: 0.000 0.000 0.500

=====

# 2
The following is a PBE calculation of crystalline Na2ZnHgPb at its relaxed geometry, from Alexandria.

Values from the calculation:
- Calculated formation energy: 0.529 eV per formula unit
- Total DFT energy (no corrections): -1.479 eV per atom

a = 6.103 Å, b = 6.103 Å, c = 5.211 Å
α = 90.00°, β = 90.00°, γ = 90.00°
Positions (direct):
Na: 0.000 0.500 0.000
Na: 0.500 0.000 0.000
Zn: 0.000 0.000 0.500
Hg: 0.500 0.500 0.500
Pb: 0.000 0.000 0.000

=====

# 3
The following is a PBE calculation of crystalline TcHRh2Au at its relaxed geometry, from Alexandria.

Values from the calculation:
- Total DFT energy (no corrections): -6.145 eV per atom

a = 3.981 Å, b = 3.981 Å, c = 3.969 Å
α = 90.00°, β = 90.00°, γ = 90.00°
Positions (direct):
Tc: 0.000 0.000 0.000
H: 0.000 0.000 0.500
Rh: 0.000 0.500 0.500
Rh: 0.500 0.000 0.500
Au: 0.500 0.500 0.000

=====

# 4
The following is a PBE calculation of crystalline PrSnHgGe at its relaxed geometry, from Alexandria.

Values from the calculation:
- Calculated formation energy: -1.112 eV per formula unit
- Total DFT energy (no corrections): -3.703 eV per atom

a = 5.267 Å, b = 5.267 Å, c = 5.267 Å
α = 60.00°, β = 60.00°, γ = 60.00°
Positions (direct):
Pr: 0.000 0.000 0.000
Sn: 0.500 0.500 0.500
Hg: 0.250 0.250 0.250
Ge: 0.750 0.750 0.750

=====

# 5
The following is a PBE calculation of crystalline Ba2TiFeSb at its relaxed geometry, from Alexandria.

Values from the calculation:
- Total DFT energy (no corrections): -4.145 eV per atom

a = 6.211 Å, b = 6.211 Å, c = 5.177 Å
α = 90.00°, β = 90.00°, γ = 90.00°
Positions (direct):
Ba: 0.000 0.500 0.000
Ba: 0.500 0.000 0.000
Ti: 0.000 0.000 0.000
Fe: 0.500 0.500 0.500
Sb: 0.000 0.000 0.500

=====

# 6
The following is a PBE calculation of crystalline KSrTeBr at its relaxed geometry, from Alexandria.

Values from the calculation:
- Total DFT energy (no corrections): -3.554 eV per atom
- Relative energy among the computed polymorphs: 0.0000 eV/atom

a = 8.344 Å, b = 8.344 Å, c = 8.344 Å
α = 33.39°, β = 33.39°, γ = 33.39°
Positions (direct):
K: 0.000 0.000 0.000
Sr: 0.507 0.507 0.507
Te: 0.245 0.245 0.245
Br: 0.761 0.761 0.761

=====

# 7
The following is a PBE calculation of crystalline ZnSi2P3 at its relaxed geometry, from Alexandria.

Values from the calculation:
- Total DFT energy (no corrections): -4.859 eV per atom

a = 6.450 Å, b = 6.450 Å, c = 6.509 Å
α = 96.22°, β = 96.22°, γ = 120.11°
Positions (direct):
Zn: 0.084 0.916 0.500
Zn: 0.916 0.084 0.000
Si: 0.264 0.752 0.999
Si: 0.427 0.599 0.515
Si: 0.599 0.427 0.015
Si: 0.752 0.264 0.499
P: 0.119 0.608 0.646
P: 0.303 0.466 0.151
P: 0.466 0.303 0.651
P: 0.608 0.119 0.146
P: 0.777 0.963 0.628
P: 0.963 0.777 0.128

=====

# 8
The following is a PBE calculation of crystalline ScBi3Ir at its relaxed geometry, from Alexandria.

Values from the calculation:
- Calculated formation energy: 2.369 eV per formula unit
- Total DFT energy (no corrections): -4.893 eV per atom
- Relative energy among the computed polymorphs: 0.0000 eV/atom

a = 5.374 Å, b = 5.374 Å, c = 5.374 Å
α = 90.00°, β = 90.00°, γ = 90.00°
Positions (direct):
Sc: 0.000 0.000 0.000
Bi: 0.000 0.500 0.500
Bi: 0.500 0.000 0.500
Bi: 0.500 0.500 0.000
Ir: 0.500 0.500 0.500

=====

Size of the total moment: 0.0; 0.0; 0.7; 0.0; 4.9; 0.0; 0.0; 0.0 (μB/cell)